# 1
# PBE Tc4AsCl, optimized geometry
data_Tc4AsCl
_chemical_formula_sum 'Tc4 As1 Cl1'
_symmetry_space_group_name_H-M 'P 1'
_symmetry_Int_Tables_number 1
_cell_length_a 5.215
_cell_length_b 5.215
_cell_length_c 5.215
_cell_angle_alpha 60.00
_cell_angle_beta 60.00
_cell_angle_gamma 60.00
loop_
_symmetry_equiv_pos_as_xyz
'x,y,z'
loop_
_atom_site_label
_atom_site_fract_x
_atom_site_fract_y
_atom_site_fract_z
Tc1 0.874 0.375 0.375
Tc2 0.375 0.874 0.375
Tc3 0.375 0.375 0.375
Tc4 0.375 0.375 0.874
As1 0.750 0.750 0.750
Cl1 0.000 0.000 0.000
# symmetry	F-43m, No. 216
# DFT total energy	-0.2585	Ha/atom
# mass density	8.32	g/cm³
# ΔE_f (raw)	0.96	eV per atom
# magnetization	0.00	μB per formula unit

***

# 2
# PBE TcAsCl, optimized geometry
data_TcAsCl
_chemical_formula_sum 'Tc1 As1 Cl1'
_symmetry_space_group_name_H-M 'P 1'
_symmetry_Int_Tables_number 1
_cell_length_a 3.114
_cell_length_b 3.114
_cell_length_c 7.610
_cell_angle_alpha 90.00
_cell_angle_beta 90.00
_cell_angle_gamma 120.00
loop_
_symmetry_equiv_pos_as_xyz
'x,y,z'
loop_
_atom_site_label
_atom_site_fract_x
_atom_site_fract_y
_atom_site_fract_z
Cl1 0.667 0.333 0.431
Tc1 0.333 0.667 0.667
As1 0.000 0.000 0.902
# symmetry	P3m1, No. 156
# energy above the lowest structure with this stoichiometry	0.0	kJ per mole of atoms
# DFT total energy	-0.2095	Ha/atom
# mass density	5.41	g/cm³
# ΔE_f (raw)	-0.08	eV per atom
# magnetization	0.01	μB per formula unit

***

# 3
# PBE TcAs2Cl, optimized geometry
data_TcAs2Cl
_chemical_formula_sum 'Tc1 As2 Cl1'
_symmetry_space_group_name_H-M 'P 1'
_symmetry_Int_Tables_number 1
_cell_length_a 3.135
_cell_length_b 3.135
_cell_length_c 7.336
_cell_angle_alpha 90.00
_cell_angle_beta 90.00
_cell_angle_gamma 90.00
loop_
_symmetry_equiv_pos_as_xyz
'x,y,z'
loop_
_atom_site_label
_atom_site_fract_x
_atom_site_fract_y
_atom_site_fract_z
Cl1 0.500 0.500 0.250
As1 0.000 0.000 0.949
As2 0.000 0.000 0.551
Tc1 0.500 0.500 0.750
# symmetry	P4/mmm, No. 123
# energy above the lowest structure with this stoichiometry	2.2	kJ per mole of atoms
# DFT total energy	-0.2002	Ha/atom
# mass density	6.52	g/cm³
# ΔE_f (raw)	-0.07	eV per atom
# magnetization	0.00	μB per formula unit

***

# 4
# PBE TcAs2Cl, optimized geometry
data_TcAs2Cl
_chemical_formula_sum 'Tc1 As2 Cl1'
_symmetry_space_group_name_H-M 'P 1'
_symmetry_Int_Tables_number 1
_cell_length_a 4.544
_cell_length_b 4.544
_cell_length_c 4.544
_cell_angle_alpha 119.92
_cell_angle_beta 119.92
_cell_angle_gamma 90.14
loop_
_symmetry_equiv_pos_as_xyz
'x,y,z'
loop_
_atom_site_label
_atom_site_fract_x
_atom_site_fract_y
_atom_site_fract_z
As1 0.250 0.750 0.500
As2 0.000 0.000 0.000
Tc1 0.750 0.250 0.500
Cl1 0.500 0.500 0.000
# symmetry	I-4m2, No. 119
# energy above the lowest structure with this stoichiometry	61.1	kJ per mole of atoms
# DFT total energy	-0.1777	Ha/atom
# mass density	7.08	g/cm³
# ΔE_f (raw)	0.54	eV per atom
# magnetization	0.00	μB per formula unit

***

Copy entry 2 word for word.
# PBE TcAsCl, optimized geometry
data_TcAsCl
_chemical_formula_sum 'Tc1 As1 Cl1'
_symmetry_space_group_name_H-M 'P 1'
_symmetry_Int_Tables_number 1
_cell_length_a 3.114
_cell_length_b 3.114
_cell_length_c 7.610
_cell_angle_alpha 90.00
_cell_angle_beta 90.00
_cell_angle_gamma 120.00
loop_
_symmetry_equiv_pos_as_xyz
'x,y,z'
loop_
_atom_site_label
_atom_site_fract_x
_atom_site_fract_y
_atom_site_fract_z
Cl1 0.667 0.333 0.431
Tc1 0.333 0.667 0.667
As1 0.000 0.000 0.902
# symmetry	P3m1, No. 156
# energy above the lowest structure with this stoichiometry	0.0	kJ per mole of atoms
# DFT total energy	-0.2095	Ha/atom
# mass density	5.41	g/cm³
# ΔE_f (raw)	-0.08	eV per atom
# magnetization	0.01	μB per formula unit